(1)
Here is Pu6As4P after structural relaxation from the Alexandria database. Energies are from GGA-PBE.

Its crystal system is trigonal. For the formation energy from the elements, the calculation gives -0.892 eV/atom.

The space group is R-3c (No. 167, hexagonal axes) and the conventional cell measures 11.3159, 11.3159 and 14.3850 Å, with angles of 90.00, 90.00 and 120.00 degrees. The distinct sites, in fractional coordinates, are Pu at (0.0374, 0.2088, 0.3881), As at (0.0000, 0.0000, 0.2500), As at (0.0000, 0.3931, 0.2500) and P at (0.0000, 0.0000, 0.0000).

---

(2)
Here is Pu4As3P after structural relaxation from the Alexandria database. Energies are from GGA-PBE.

Its crystal system is cubic. The energy relative to the lowest polymorph listed for this composition comes out at 0.043 eV/atom. For the formation energy from the elements, the calculation gives -1.002 eV/atom.

The space group is Pm-3m (No. 221) and the conventional cell measures 5.7965, 5.7965 and 5.7965 Å, with angles of 90.00, 90.00 and 90.00 degrees. The distinct sites, in fractional coordinates, are Pu at (0.0000, 0.0000, 0.0000), Pu at (0.0000, 0.5000, 0.5000), As at (0.0000, 0.0000, 0.5000) and P at (0.5000, 0.5000, 0.5000).